Record 1
First-principles (PBE) data for a relaxed structure of Np2Si3Au6, as listed in the Alexandria database.

Summary:
Uncorrected formation energy, eV/f.u.: -2.21
V, Å³/atom: 19.83
Total magnetic moment, μB/cell: 8.5
Theoretical density, kg/m3: 13246

a = 7.6691 Å, b = 7.6691 Å, c = 4.2827 Å
α = 90.00°, β = 90.00°, γ = 120.00°
Closest atoms and distances in Å follow each position.
Space group P-62m (No. 189)
Unique sites:
Np1 0.3333 0.6667 0.0000 (multiplicity 2)  9 Au 3.12-3.38, 6 Si 3.25
Si1 0.0000 0.6345 0.5000 (multiplicity 3)  5 Au 2.42-2.64
Au1 0.0000 0.3191 0.5000 (multiplicity 3)  3 Si 2.42-2.64
Au2 0.0000 0.7867 0.0000 (multiplicity 3)  2 Si 2.44

Record 2
First-principles (PBE) data for a relaxed structure of NpSi2Au3, as listed in the Alexandria database.

Summary:
Uncorrected formation energy, eV/f.u.: -1.09
V, Å³/atom: 18.93
Total magnetic moment, μB/cell: 15.6
Theoretical density, kg/m3: 12925

a = 15.7749 Å, b = 4.2508 Å, c = 7.5608 Å
α = 90.00°, β = 116.34°, γ = 90.00°
Closest atoms and distances in Å follow each position.
Space group C2/m (No. 12)
Unique sites:
Np1 0.1449 0.0000 0.0664 (multiplicity 4)  7 Si 3.09-3.29, 7 Au 3.20-3.35
Si1 0.0116 0.5000 0.1614 (multiplicity 4)  1 Si 2.30, 4 Au 2.52-2.57
Si2 0.2005 0.0000 0.7219 (multiplicity 4)  4 Au 2.46-2.68
Au1 0.0460 0.0000 0.3732 (multiplicity 4)  3 Si 2.57-2.68, 1 Au 2.87
Au2 0.1196 0.5000 0.7310 (multiplicity 4)  3 Si 2.50-2.54
Au3 0.1831 0.5000 0.4123 (multiplicity 4)  2 Si 2.46-2.52

Record 3
First-principles (PBE) data for a relaxed structure of Sr2NpSi3Au12, as listed in the Alexandria database.

Summary:
Uncorrected formation energy, eV/f.u.: -1.54
V, Å³/atom: 24.73
Total magnetic moment, μB/cell: 12.6
Theoretical density, kg/m3: 10668

a = 8.9013 Å, b = 8.9013 Å, c = 19.4633 Å
α = 90.00°, β = 90.00°, γ = 120.00°
Closest atoms and distances in Å follow each position.
Space group R-3m (No. 166, hexagonal axes)
Unique sites:
Sr1 0.0000 0.0000 0.0972 (multiplicity 6)  9 Au 3.15-3.44
Np1 0.0000 0.0000 0.5000 (multiplicity 3)  6 Au 2.92
Si1 0.0000 0.5000 0.0000 (multiplicity 9)  6 Au 2.45-2.48
Au1 0.0322 0.5161 0.8733 (multiplicity 18)  1 Si 2.48
Au2 0.0341 0.5171 0.3301 (multiplicity 18)  2 Si 2.45